5
Lattice="5.836 0.000 0.000 0.000 5.836 0.000 0.000 0.000 5.836" Properties=species:S:1:pos:R:3 comment="PBE-GGA La3GaBr, optimized geometry" raw_formation_energy_mev_per_atom=-175 n_ef_per_ev_cell=6.472 dft_energy_ha_per_atom=-0.1496 space_group="Pm-3m (221)" de_polymorph_mev_per_atom=519 pbc="T T T"
La 0.000 0.000 2.918
La 0.000 2.918 0.000
La 2.918 0.000 0.000
Ga 0.000 0.000 0.000
Br 2.918 2.918 2.918

=====

6
Lattice="-2.062 2.826 6.753 2.062 -2.826 6.753 2.062 2.826 -6.753" Properties=species:S:1:pos:R:3 comment="PBE-GGA HoTeS, optimized geometry" raw_formation_energy_mev_per_atom=-1492 n_ef_per_ev_cell=0.531 dft_energy_ha_per_atom=-0.1999 space_group="Immm (71)" de_polymorph_mev_per_atom=0 pbc="T T T"
Ho 0.000 0.000 2.177
Ho 0.000 0.000 11.330
Te 2.062 1.431 0.000
Te 0.000 1.395 6.753
S 2.062 0.000 3.855
S 0.000 2.826 2.898

=====

11
Lattice="-1.771 4.583 11.843 1.771 -4.583 11.843 1.771 4.583 -11.843" Properties=species:S:1:pos:R:3 comment="PBE-GGA Nd5Y4Tm2, optimized geometry" n_ef_per_ev_cell=18.807 dft_energy_ha_per_atom=-0.1878 formation_energy_kj_per_mol_atoms=21 space_group="Immm (71)" de_polymorph_mev_per_atom=111 pbc="T T T"
Nd 0.000 0.000 0.000
Nd 1.771 1.839 -3.499
Nd 1.771 1.839 3.499
Nd 0.000 2.743 8.344
Nd 0.000 2.743 15.342
Y 1.771 2.859 0.000
Y 1.771 0.000 9.526
Y 0.000 4.583 2.317
Y 0.000 1.724 11.843
Tm 1.771 0.000 6.381
Tm 0.000 4.583 5.462

=====

9
Lattice="4.864 0.000 0.000 0.000 4.864 0.000 0.000 0.000 7.838" Properties=species:S:1:pos:R:3 comment="PBE-GGA PmZn2CdAu5, optimized geometry" n_ef_per_ev_cell=2.902 dft_energy_ha_per_atom=-0.1111 formation_energy_kj_per_mol_atoms=-28 space_group="P4/mmm (123)" pbc="T T T"
Pm 0.000 0.000 0.000
Zn 2.432 2.432 2.712
Zn 2.432 2.432 5.126
Cd 0.000 0.000 3.919
Au 0.000 2.432 1.917
Au 0.000 2.432 5.921
Au 2.432 0.000 1.917
Au 2.432 0.000 5.921
Au 2.432 2.432 0.000

=====

6
Lattice="4.596 0.000 0.000 0.000 3.190 0.000 -2.268 0.000 7.739" Properties=species:S:1:pos:R:3 comment="PBE-GGA NaTaTc, optimized geometry" n_ef_per_ev_cell=4.176 dft_energy_ha_per_atom=-0.2787 formation_energy_kj_per_mol_atoms=25 space_group="P2/m (10)" de_polymorph_mev_per_atom=91 pbc="T T T"
Na 0.000 0.000 0.000
Na 2.298 1.595 0.000
Ta 0.017 1.595 2.854
Ta 2.312 1.595 4.886
Tc 0.015 0.000 4.920
Tc 2.313 0.000 2.819

=====

19
Lattice="9.127 -4.696 0.000 9.127 4.696 0.000 -4.235 0.000 7.879" Properties=species:S:1:pos:R:3 comment="PBE-GGA La5Nd2Sm12, optimized geometry" n_ef_per_ev_cell=28.456 dft_energy_ha_per_atom=-0.1686 formation_energy_kj_per_mol_atoms=19 space_group="C2/m (12)" pbc="T T T"
La 0.000 0.000 0.000
La 0.842 0.000 6.384
La 3.965 0.000 2.088
La 10.055 0.000 5.791
La 13.178 0.000 1.495
Nd 7.010 1.596 3.940
Nd 7.010 -1.596 3.940
Sm 3.956 3.016 4.571
Sm -2.093 0.000 5.420
Sm 6.780 1.966 0.386
Sm 10.064 3.016 3.309
Sm 7.240 1.966 7.493
Sm 4.442 0.000 5.976
Sm 9.579 0.000 1.904
Sm 6.780 -1.966 0.386
Sm 3.956 -3.016 4.571
Sm 7.240 -1.966 7.493
Sm 16.114 0.000 2.459
Sm 10.064 -3.016 3.309

=====

4
Lattice="4.961 0.000 0.000 0.000 4.961 0.000 0.000 0.000 4.361" Properties=species:S:1:pos:R:3 comment="PBE-GGA CeEr2Ag, optimized geometry" n_ef_per_ev_cell=6.412 dft_energy_ha_per_atom=-0.1620 formation_energy_kj_per_mol_atoms=7 space_group="P4/mmm (123)" de_polymorph_mev_per_atom=168 pbc="T T T"
Ce 0.000 0.000 0.000
Er 0.000 2.480 2.180
Er 2.480 0.000 2.180
Ag 2.480 2.480 0.000

=====

10
Lattice="9.087 -2.443 0.000 9.087 2.443 0.000 -1.836 0.000 6.681" Properties=species:S:1:pos:R:3 comment="PBE-GGA Pm7Sb3, optimized geometry" raw_formation_energy_mev_per_atom=-642 n_ef_per_ev_cell=11.627 dft_energy_ha_per_atom=-0.1912 space_group="C2/m (12)" pbc="T T T"
Pm 0.000 0.000 0.000
Pm 2.621 0.000 4.208
Pm 6.642 0.000 1.120
Pm 6.197 0.000 4.592
Pm 10.141 0.000 2.090
Pm 9.696 0.000 5.562
Pm 13.717 0.000 2.474
Sb -0.918 0.000 3.341
Sb 3.128 0.000 0.937
Sb 13.210 0.000 5.744

=====

3
Lattice="0.000 3.629 3.629 3.629 0.000 3.629 3.629 3.629 0.000" Properties=species:S:1:pos:R:3 comment="PBE-GGA KLiCo, optimized geometry" n_ef_per_ev_cell=8.214 dft_energy_ha_per_atom=-0.0744 formation_energy_kj_per_mol_atoms=130 space_group="F-43m (216)" de_polymorph_mev_per_atom=975 pbc="T T T"
K 0.000 0.000 0.000
Li 1.814 1.814 1.814
Co 5.443 5.443 5.443

=====

4
Lattice="-1.806 1.806 3.584 1.806 -1.806 3.584 1.806 1.806 -3.584" Properties=species:S:1:pos:R:3 comment="PBE-GGA Co2SiRh, optimized geometry" raw_formation_energy_mev_per_atom=-245 n_ef_per_ev_cell=5.790 dft_energy_ha_per_atom=-0.2569 space_group="I4/mmm (139)" pbc="T T T"
Co 1.806 0.000 1.792
Co 0.000 1.806 1.792
Si 0.000 0.000 0.000
Rh 0.000 0.000 3.584

=====

4
Lattice="4.419 0.000 0.000 0.000 4.419 0.000 0.000 0.000 4.117" Properties=species:S:1:pos:R:3 comment="PBE-GGA BaMnIr2, optimized geometry" n_ef_per_ev_cell=4.182 dft_energy_ha_per_atom=-0.2376 formation_energy_kj_per_mol_atoms=71 space_group="P4/mmm (123)" de_polymorph_mev_per_atom=779 pbc="T T T"
Ba 0.000 0.000 0.000
Mn 2.210 2.210 0.000
Ir 0.000 2.210 2.058
Ir 2.210 0.000 2.058

=====

10
Lattice="4.554 0.000 0.000 0.000 4.554 0.000 0.000 0.000 11.574" Properties=species:S:1:pos:R:3 comment="PBE-GGA Sr2PuGa3Au4, optimized geometry" n_ef_per_ev_cell=13.807 dft_energy_ha_per_atom=-0.1661 formation_energy_kj_per_mol_atoms=-51 space_group="P-4m2 (115)" pbc="T T T"
Sr 0.000 2.277 2.621
Sr 2.277 0.000 8.953
Pu 0.000 0.000 5.787
Ga 0.000 2.277 10.233
Ga 2.277 0.000 1.341
Ga 2.277 2.277 5.787
Au 0.000 0.000 0.000
Au 0.000 2.277 7.665
Au 2.277 0.000 3.909
Au 2.277 2.277 0.000

=====

8
Lattice="6.705 0.000 0.000 0.000 3.898 0.000 -2.309 0.000 6.387" Properties=species:S:1:pos:R:3 comment="PBE-GGA Dy2MgZrP4, optimized geometry" n_ef_per_ev_cell=1.117 dft_energy_ha_per_atom=-0.2336 formation_energy_kj_per_mol_atoms=-119 space_group="P2/m (10)" pbc="T T T"
Dy 0.000 0.000 0.000
Dy -1.155 1.949 3.194
Mg 2.198 0.000 3.194
Zr 3.353 1.949 0.000
P 0.014 0.000 4.845
P 1.201 1.949 1.606
P 3.196 1.949 4.781
P 4.382 0.000 1.542

=====

5
Lattice="6.117 0.000 0.000 0.000 6.117 0.000 0.000 0.000 6.117" Properties=species:S:1:pos:R:3 comment="PBE-GGA K3BPt, optimized geometry" n_ef_per_ev_cell=6.126 dft_energy_ha_per_atom=-0.0812 formation_energy_kj_per_mol_atoms=96 space_group="Pm-3m (221)" de_polymorph_mev_per_atom=0 pbc="T T T"
K 0.000 0.000 3.059
K 0.000 3.059 0.000
K 3.059 0.000 0.000
B 3.059 3.059 3.059
Pt 0.000 0.000 0.000

=====

4
Lattice="5.275 -1.585 0.000 5.275 1.585 0.000 -2.903 0.000 5.073" Properties=species:S:1:pos:R:3 comment="PBE-GGA ZnSiP2, optimized geometry" raw_formation_energy_mev_per_atom=307 n_ef_per_ev_cell=0.908 dft_energy_ha_per_atom=-0.1497 space_group="Cm (8)" de_polymorph_mev_per_atom=618 pbc="T T T"
Zn 0.000 0.000 0.000
Si 7.272 0.000 0.042
P 0.524 0.000 3.988
P 3.428 0.000 1.160

=====

13
Lattice="-4.768 4.768 2.818 4.768 -4.768 2.818 4.768 4.768 -2.818" Properties=species:S:1:pos:R:3 comment="PBE-GGA LaAg4Au8, optimized geometry" n_ef_per_ev_cell=4.496 dft_energy_ha_per_atom=-0.1276 formation_energy_kj_per_mol_atoms=-19 space_group="I4/mmm (139)" pbc="T T T"
La 0.000 0.000 0.000
Ag 2.384 2.384 -1.409
Ag 2.384 -2.384 1.409
Ag -2.384 2.384 1.409
Ag 2.384 2.384 1.409
Au 3.302 0.000 0.000
Au 6.234 0.000 0.000
Au 4.768 2.716 0.000
Au 0.000 3.302 0.000
Au 2.716 4.768 0.000
Au 2.052 0.000 2.818
Au 0.000 6.234 0.000
Au 0.000 2.052 2.818

=====

4
Lattice="3.156 0.000 0.000 0.000 3.156 0.000 0.000 0.000 6.141" Properties=species:S:1:pos:R:3 comment="PBE-GGA NiMoSe2, optimized geometry" raw_formation_energy_mev_per_atom=-2 n_ef_per_ev_cell=1.714 dft_energy_ha_per_atom=-0.2167 space_group="P4/mmm (123)" de_polymorph_mev_per_atom=309 pbc="T T T"
Ni 0.000 0.000 0.000
Mo 0.000 0.000 3.070
Se 1.578 1.578 1.549
Se 1.578 1.578 4.592

=====

2
Lattice="0.000 2.993 2.993 2.993 0.000 2.993 2.993 2.993 0.000" Properties=species:S:1:pos:R:3 comment="PBE-GGA NaV, optimized geometry" n_ef_per_ev_cell=4.105 dft_energy_ha_per_atom=-0.1283 formation_energy_kj_per_mol_atoms=167 space_group="Fm-3m (225)" de_polymorph_mev_per_atom=1240 pbc="T T T"
Na 0.000 0.000 0.000
V 2.993 2.993 2.993

=====

4
Lattice="0.000 2.975 2.975 2.975 0.000 2.975 2.975 2.975 0.000" Properties=species:S:1:pos:R:3 comment="PBE-GGA AlFeCuRh, optimized geometry" n_ef_per_ev_cell=2.222 dft_energy_ha_per_atom=-0.2290 formation_energy_kj_per_mol_atoms=-31 space_group="F-43m (216)" pbc="T T T"
Al 0.000 0.000 0.000
Fe 2.975 2.975 2.975
Cu 1.487 1.487 1.487
Rh 4.462 4.462 4.462

=====

5
Lattice="5.672 0.000 0.000 0.000 5.672 0.000 0.000 0.000 3.623" Properties=species:S:1:pos:R:3 comment="PBE-GGA Sr2FeSnN, optimized geometry" raw_formation_energy_mev_per_atom=-401 n_ef_per_ev_cell=3.878 dft_energy_ha_per_atom=-0.1923 space_group="P4/mmm (123)" pbc="T T T"
Sr 0.000 2.836 0.000
Sr 2.836 0.000 0.000
Fe 0.000 0.000 1.811
Sn 2.836 2.836 1.811
N 0.000 0.000 0.000